Record 1
## Sb5O7F (PBE-GGA)

Data for a geometry-optimized Sb5O7F structure.

Cell: 5.333 14.689 14.689 Å, 64.41 79.54 79.54°
Atoms (fractional coordinates):
Sb (0.339, 0.276, 0.112)
Sb (0.484, 0.349, 0.507)
Sb (0.516, 0.651, 0.493)
Sb (0.204, 0.546, 0.046)
Sb (0.839, 0.112, 0.276)
Sb (0.773, 0.776, 0.612)
Sb (0.273, 0.612, 0.776)
Sb (0.796, 0.454, 0.954)
Sb (0.227, 0.224, 0.388)
Sb (0.296, 0.954, 0.454)
Sb (0.340, 0.993, 0.151)
Sb (0.161, 0.888, 0.724)
Sb (0.661, 0.724, 0.888)
Sb (0.840, 0.151, 0.993)
Sb (0.660, 0.007, 0.849)
Sb (0.016, 0.493, 0.651)
Sb (0.704, 0.046, 0.546)
Sb (0.984, 0.507, 0.349)
Sb (0.160, 0.849, 0.007)
Sb (0.727, 0.388, 0.224)
O (0.876, 0.597, 0.524)
O (0.544, 0.273, 0.420)
O (0.523, 0.584, 0.925)
O (0.947, 0.250, 0.250)
O (0.023, 0.925, 0.584)
O (0.553, 0.750, 0.750)
O (0.053, 0.750, 0.750)
O (0.477, 0.416, 0.075)
O (0.737, 0.227, 0.080)
O (0.503, 0.097, 0.024)
O (0.003, 0.024, 0.097)
O (0.977, 0.075, 0.416)
O (0.456, 0.727, 0.580)
O (0.532, 0.916, 0.575)
O (0.124, 0.403, 0.476)
O (0.044, 0.420, 0.273)
O (0.237, 0.080, 0.227)
O (0.997, 0.976, 0.903)
O (0.763, 0.920, 0.773)
O (0.376, 0.524, 0.597)
O (0.624, 0.476, 0.403)
O (0.968, 0.425, 0.084)
O (0.956, 0.580, 0.727)
O (0.447, 0.250, 0.250)
O (0.032, 0.575, 0.916)
O (0.497, 0.903, 0.976)
O (0.263, 0.773, 0.920)
O (0.468, 0.084, 0.425)
F (0.657, 0.593, 0.093)
F (0.843, 0.907, 0.407)
F (0.157, 0.093, 0.593)
F (0.343, 0.407, 0.907)

Summary:
SG   No. 73
Total magnetic moment   0.00 μB/cell
Energy above the lowest structure with this stoichiometry   0.0297 eV per atom
D(E_F)   0.000 states/eV/atom



Record 2
## SbO2F2 (PBE-GGA)

Data for a geometry-optimized SbO2F2 structure.

Cell: 3.981 3.981 3.678 Å, 90.00 90.00 90.00°
Atoms (fractional coordinates):
O (0.000, 0.000, 0.500)
O (0.000, 0.000, 0.000)
F (0.000, 0.500, 0.000)
F (0.500, 0.000, 0.000)
Sb (0.500, 0.500, 0.500)

Summary:
SG   No. 123
Total magnetic moment   0.00 μB/cell
Energy above the lowest structure with this stoichiometry   0.9691 eV per atom
D(E_F)   0.323 states/eV/atom



Record 3
## SbOF (PBE-GGA)

Data for a geometry-optimized SbOF structure.

Cell: 4.154 5.818 8.918 Å, 90.00 90.00 90.00°
Atoms (fractional coordinates):
F (0.250, 0.443, 0.771)
F (0.250, 0.057, 0.271)
F (0.750, 0.557, 0.229)
F (0.750, 0.943, 0.729)
O (0.750, 0.091, 0.051)
O (0.250, 0.909, 0.949)
O (0.750, 0.409, 0.551)
O (0.250, 0.591, 0.449)
Sb (0.750, 0.705, 0.431)
Sb (0.250, 0.205, 0.069)
Sb (0.750, 0.795, 0.931)
Sb (0.250, 0.295, 0.569)

Summary:
SG   No. 62
Total magnetic moment   0.00 μB/cell
D(E_F)   0.000 states/eV/atom



Record 4
## SbOF (PBE-GGA)

Data for a geometry-optimized SbOF structure.

Cell: 4.934 6.258 6.718 Å, 78.79 90.00 90.00°
Atoms (fractional coordinates):
F (0.694, 0.993, 0.197)
F (0.194, 0.507, 0.803)
F (0.806, 0.493, 0.197)
F (0.306, 0.007, 0.803)
O (0.179, 0.867, 0.450)
O (0.821, 0.133, 0.550)
O (0.321, 0.367, 0.450)
O (0.679, 0.633, 0.550)
Sb (0.043, 0.186, 0.291)
Sb (0.957, 0.814, 0.709)
Sb (0.457, 0.686, 0.291)
Sb (0.543, 0.314, 0.709)

Summary:
SG   No. 14
Total magnetic moment   0.00 μB/cell
D(E_F)   0.000 states/eV/atom



Record 5
## Sb2OF8 (PBE-GGA)

Data for a geometry-optimized Sb2OF8 structure.

Cell: 6.146 7.220 7.220 Å, 53.72 53.71 53.71°
Atoms (fractional coordinates):
F (0.594, 0.865, 0.865)
F (0.707, 0.461, 0.831)
F (0.778, 0.274, 0.274)
F (0.293, 0.539, 0.169)
F (0.406, 0.135, 0.135)
F (0.293, 0.169, 0.539)
F (0.222, 0.726, 0.726)
F (0.707, 0.831, 0.461)
O (0.000, 0.000, 0.000)
Sb (0.632, 0.184, 0.184)
Sb (0.368, 0.816, 0.816)

Summary:
SG   No. 12
Total magnetic moment   0.03 μB/cell
Energy above the lowest structure with this stoichiometry   0.0114 eV per atom
D(E_F)   0.000 states/eV/atom



Record 6
## Sb2OF8 (PBE-GGA)

Data for a geometry-optimized Sb2OF8 structure.

Cell: 5.416 8.330 16.548 Å, 75.92 90.00 90.00°
Atoms (fractional coordinates):
F (0.605, 0.876, 0.645)
F (0.366, 0.827, 0.480)
F (0.056, 0.004, 0.597)
F (0.821, 0.650, 0.226)
F (0.904, 0.653, 0.583)
F (0.944, 0.996, 0.403)
F (0.395, 0.876, 0.145)
F (0.794, 0.500, 0.750)
F (0.096, 0.653, 0.083)
F (0.509, 0.830, 0.318)
F (0.056, 0.996, 0.903)
F (0.096, 0.347, 0.417)
F (0.104, 0.000, 0.250)
F (0.179, 0.650, 0.726)
F (0.634, 0.173, 0.520)
F (0.366, 0.173, 0.020)
F (0.624, 0.505, 0.114)
F (0.509, 0.170, 0.182)
F (0.821, 0.350, 0.274)
F (0.896, 0.000, 0.750)
F (0.376, 0.505, 0.614)
F (0.179, 0.350, 0.774)
F (0.944, 0.004, 0.097)
F (0.624, 0.495, 0.386)
F (0.904, 0.347, 0.917)
F (0.376, 0.495, 0.886)
F (0.605, 0.124, 0.855)
F (0.491, 0.170, 0.682)
F (0.206, 0.500, 0.250)
F (0.395, 0.124, 0.355)
F (0.491, 0.830, 0.818)
F (0.634, 0.827, 0.980)
Sb (0.056, 0.478, 0.658)
Sb (0.244, 0.914, 0.371)
Sb (0.944, 0.478, 0.158)
Sb (0.756, 0.914, 0.871)
Sb (0.056, 0.522, 0.842)
Sb (0.756, 0.086, 0.629)
Sb (0.944, 0.522, 0.342)
Sb (0.244, 0.086, 0.129)
O (0.940, 0.701, 0.880)
O (0.060, 0.701, 0.380)
O (0.940, 0.299, 0.620)
O (0.060, 0.299, 0.120)

Summary:
SG   No. 13
Total magnetic moment   0.25 μB/cell
Energy above the lowest structure with this stoichiometry   0.0000 eV per atom
D(E_F)   0.000 states/eV/atom



Record 7
## SbOF (PBE-GGA)

Data for a geometry-optimized SbOF structure.

Cell: 4.669 3.598 3.598 Å, 120.00 90.00 90.00°
Atoms (fractional coordinates):
Sb (0.367, 0.667, 0.333)
O (0.538, 0.333, 0.667)
F (0.095, 0.000, 0.000)

Summary:
SG   No. 156
Total magnetic moment   0.00 μB/cell



Record 8
## SbO2F (PBE-GGA)

Data for a geometry-optimized SbO2F structure.

Cell: 3.396 3.396 4.985 Å, 70.08 70.08 60.00°
Atoms (fractional coordinates):
F (0.500, 0.500, 0.500)
Sb (0.000, 0.000, 0.000)
O (0.724, 0.724, 0.827)
O (0.276, 0.276, 0.173)

Summary:
SG   No. 166
Total magnetic moment   0.00 μB/cell
Energy above the lowest structure with this stoichiometry   0.6208 eV per atom
D(E_F)   0.291 states/eV/atom



Record 9
## SbOF (PBE-GGA)

Data for a geometry-optimized SbOF structure.

Cell: 10.197 10.197 4.615 Å, 90.00 90.00 90.00°
Atoms (fractional coordinates):
F (0.172, 0.438, 0.733)
F (0.438, 0.828, 0.267)
F (0.672, 0.062, 0.767)
F (0.562, 0.172, 0.267)
F (0.062, 0.328, 0.233)
F (0.328, 0.938, 0.767)
F (0.938, 0.672, 0.233)
F (0.828, 0.562, 0.733)
Sb (0.241, 0.012, 0.118)
Sb (0.488, 0.259, 0.618)
Sb (0.988, 0.241, 0.882)
Sb (0.741, 0.488, 0.382)
Sb (0.012, 0.759, 0.882)
Sb (0.259, 0.512, 0.382)
Sb (0.512, 0.741, 0.618)
Sb (0.759, 0.988, 0.118)
O (0.117, 0.866, 0.161)
O (0.366, 0.617, 0.661)
O (0.617, 0.634, 0.339)
O (0.866, 0.883, 0.839)
O (0.883, 0.134, 0.161)
O (0.134, 0.117, 0.839)
O (0.634, 0.383, 0.661)
O (0.383, 0.366, 0.339)

Summary:
SG   No. 114
Total magnetic moment   0.00 μB/cell
D(E_F)   0.000 states/eV/atom



Record 10
## SbO2F (PBE-GGA)

Data for a geometry-optimized SbO2F structure.

Cell: 3.766 3.766 3.766 Å, 60.00 60.00 60.00°
Atoms (fractional coordinates):
O (0.750, 0.750, 0.750)
O (0.250, 0.250, 0.250)
Sb (0.500, 0.500, 0.500)
F (0.000, 0.000, 0.000)

Summary:
SG   No. 225
Total magnetic moment   0.00 μB/cell
Energy above the lowest structure with this stoichiometry   0.7707 eV per atom
D(E_F)   0.572 states/eV/atom



Record 11
## Sb5O7F (PBE-GGA)

Data for a geometry-optimized Sb5O7F structure.

Cell: 6.718 12.125 13.152 Å, 90.00 90.00 90.01°
Atoms (fractional coordinates):
Sb (0.729, 0.596, 0.564)
Sb (0.438, 0.594, 0.239)
Sb (0.410, 0.246, 0.247)
Sb (0.062, 0.906, 0.739)
Sb (0.910, 0.446, 0.265)
Sb (0.938, 0.094, 0.261)
Sb (0.249, 0.441, 0.048)
Sb (0.751, 0.559, 0.952)
Sb (0.590, 0.054, 0.765)
Sb (0.749, 0.941, 0.452)
Sb (0.090, 0.554, 0.735)
Sb (0.251, 0.059, 0.548)
Sb (0.090, 0.254, 0.747)
Sb (0.562, 0.406, 0.761)
Sb (0.410, 0.946, 0.235)
Sb (0.590, 0.754, 0.753)
Sb (0.771, 0.904, 0.064)
Sb (0.271, 0.404, 0.436)
Sb (0.229, 0.096, 0.936)
Sb (0.910, 0.746, 0.253)
O (0.202, 0.204, 0.609)
O (0.375, 0.990, 0.676)
O (0.746, 0.901, 0.753)
O (0.754, 0.599, 0.253)
O (0.990, 0.020, 0.396)
O (0.965, 0.962, 0.171)
O (0.010, 0.980, 0.604)
O (0.702, 0.704, 0.891)
O (0.798, 0.796, 0.391)
O (0.246, 0.401, 0.747)
O (0.875, 0.490, 0.824)
O (0.336, 0.193, 0.820)
O (0.664, 0.807, 0.180)
O (0.254, 0.099, 0.247)
O (0.535, 0.538, 0.671)
O (0.460, 0.996, 0.887)
O (0.490, 0.520, 0.104)
O (0.035, 0.038, 0.829)
O (0.164, 0.307, 0.320)
O (0.125, 0.510, 0.176)
O (0.540, 0.004, 0.113)
O (0.040, 0.504, 0.387)
O (0.298, 0.296, 0.109)
O (0.836, 0.693, 0.680)
O (0.625, 0.010, 0.324)
O (0.510, 0.480, 0.896)
O (0.465, 0.462, 0.329)
O (0.960, 0.496, 0.613)
F (0.519, 0.741, 0.575)
F (0.019, 0.241, 0.925)
F (0.981, 0.759, 0.075)
F (0.481, 0.259, 0.425)

Summary:
SG   No. 14
Total magnetic moment   0.00 μB/cell
Energy above the lowest structure with this stoichiometry   0.0000 eV per atom
D(E_F)   0.000 states/eV/atom



Record 12
## SbO2F (PBE-GGA)

Data for a geometry-optimized SbO2F structure.

Cell: 6.983 6.983 5.379 Å, 49.52 49.52 90.00°
Atoms (fractional coordinates):
F (0.500, 0.500, 0.000)
F (0.250, 0.750, 0.500)
O (0.375, 0.230, 0.750)
O (0.980, 0.625, 0.250)
O (0.875, 0.020, 0.750)
O (0.770, 0.125, 0.250)
Sb (0.000, 0.000, 0.000)
Sb (0.750, 0.250, 0.500)

Summary:
SG   No. 122
Total magnetic moment   0.00 μB/cell
Energy above the lowest structure with this stoichiometry   0.1640 eV per atom
D(E_F)   0.000 states/eV/atom



Record 13
## SbO2F (PBE-GGA)

Data for a geometry-optimized SbO2F structure.

Cell: 5.130 5.541 5.130 Å, 119.41 61.90 119.41°
Atoms (fractional coordinates):
O (0.614, 0.901, 0.960)
O (0.329, 0.914, 0.592)
O (0.092, 0.414, 0.829)
O (0.460, 0.401, 0.114)
Sb (0.688, 0.150, 0.752)
Sb (0.252, 0.650, 0.188)
F (0.956, 0.899, 0.351)
F (0.851, 0.399, 0.456)

Summary:
SG   No. 9
Total magnetic moment   0.00 μB/cell
Energy above the lowest structure with this stoichiometry   0.0000 eV per atom



Record 14
## SbOF (PBE-GGA)

Data for a geometry-optimized SbOF structure.

Cell: 5.451 11.806 13.962 Å, 90.00 90.00 90.00°
Atoms (fractional coordinates):
O (0.052, 0.285, 0.386)
O (0.948, 0.215, 0.886)
O (0.620, 0.465, 0.294)
O (0.880, 0.465, 0.794)
O (0.448, 0.285, 0.886)
O (0.620, 0.965, 0.206)
O (0.380, 0.035, 0.794)
O (0.120, 0.035, 0.294)
O (0.552, 0.715, 0.114)
O (0.380, 0.535, 0.706)
O (0.552, 0.215, 0.386)
O (0.120, 0.535, 0.206)
O (0.948, 0.715, 0.614)
O (0.880, 0.965, 0.706)
O (0.052, 0.785, 0.114)
O (0.448, 0.785, 0.614)
Sb (0.660, 0.101, 0.718)
Sb (0.753, 0.836, 0.546)
Sb (0.747, 0.836, 0.046)
Sb (0.160, 0.899, 0.782)
Sb (0.247, 0.664, 0.046)
Sb (0.160, 0.399, 0.718)
Sb (0.340, 0.899, 0.282)
Sb (0.753, 0.336, 0.954)
Sb (0.247, 0.164, 0.454)
Sb (0.840, 0.101, 0.218)
Sb (0.340, 0.399, 0.218)
Sb (0.660, 0.601, 0.782)
Sb (0.840, 0.601, 0.282)
Sb (0.747, 0.336, 0.454)
Sb (0.253, 0.664, 0.546)
Sb (0.253, 0.164, 0.954)
F (0.009, 0.044, 0.102)
F (0.647, 0.222, 0.059)
F (0.353, 0.778, 0.941)
F (0.853, 0.722, 0.941)
F (0.991, 0.456, 0.602)
F (0.991, 0.956, 0.898)
F (0.147, 0.278, 0.059)
F (0.147, 0.778, 0.441)
F (0.353, 0.278, 0.559)
F (0.509, 0.956, 0.398)
F (0.647, 0.722, 0.441)
F (0.491, 0.044, 0.602)
F (0.491, 0.544, 0.898)
F (0.509, 0.456, 0.102)
F (0.853, 0.222, 0.559)
F (0.009, 0.544, 0.398)

Summary:
SG   No. 61
Total magnetic moment   0.00 μB/cell
D(E_F)   0.000 states/eV/atom



Record 15
## SbO2F (PBE-GGA)

Data for a geometry-optimized SbO2F structure.

Cell: 6.392 6.392 6.392 Å, 30.44 30.44 30.44°
Site moments in Bohr magnetons follow the coordinates.
Atoms (fractional coordinates):
F (0.000, 0.000, 0.000)  -0.51
O (0.119, 0.119, 0.119)  -0.07
O (0.881, 0.881, 0.881)  -0.07
Sb (0.500, 0.500, 0.500)  0.00

Summary:
SG   No. 166
Total magnetic moment   0.73 μB/cell
Energy above the lowest structure with this stoichiometry   0.9079 eV per atom
D(E_F)   0.528 states/eV/atom



Record 16
## SbOF (PBE-GGA)

Data for a geometry-optimized SbOF structure.

Cell: 4.760 6.457 7.691 Å, 90.00 90.00 90.00°
Atoms (fractional coordinates):
O (0.222, 0.908, 0.084)
O (0.222, 0.408, 0.416)
O (0.722, 0.592, 0.584)
O (0.722, 0.092, 0.916)
F (0.147, 0.910, 0.721)
F (0.647, 0.090, 0.279)
F (0.147, 0.410, 0.779)
F (0.647, 0.590, 0.221)
Sb (0.417, 0.183, 0.076)
Sb (0.917, 0.317, 0.576)
Sb (0.917, 0.817, 0.924)
Sb (0.417, 0.683, 0.424)

Summary:
SG   No. 33
Total magnetic moment   0.00 μB/cell
D(E_F)   0.000 states/eV/atom



Listing energy relative to the elements, uncorrected for the structures above in their given order: -1.37 0.00 -1.83 -1.80 -2.05 -2.06 -1.45 -0.91 -1.77 -0.76 -1.40 -1.37 -1.53 -1.77 -0.62 -1.78 eV per atom.